FeAs2BrO | PBE+U | relaxed

Computed properties:
E above lowest polymorph	0	kJ/mol of formula units
raw total energy	-4.01	eV/atom
calculated volume	105.5	Å³/cell

a = 4.1058 Å, b = 4.1058 Å, c = 6.2614 Å
α = 90.00°, β = 90.00°, γ = 90.00°
Closest atoms and distances in Å follow each position.
Space group P4/mmm (No. 123)
Unique sites:
Fe: 0.0000 0.0000 0.0000  4 Br 2.90
As: 0.0000 0.5000 0.5000  2 O 2.05
Br: 0.5000 0.5000 0.0000  4 Fe 2.90, 2 O 3.13
O: 0.5000 0.5000 0.5000  4 As 2.05